Record 1
First-principles (PBE) data for crystalline PrTcF at its relaxed geometry, as listed in Alexandria.

Summary:
Formation energy (no corrections): -1736.0 meV/atom
Raw total energy: -44.45 eV/cell

Cell: 4.102 4.102 8.613 Å, 76.22 76.22 60.00°
Positions (direct):
F  0.694  0.694  0.917
F  0.306  0.306  0.083
Pr  0.593  0.593  0.221
Pr  0.407  0.407  0.779
Tc  0.842  0.842  0.474
Tc  0.158  0.158  0.526

Record 2
First-principles (PBE) data for crystalline Pr4Te5F at its relaxed geometry, as listed in Alexandria.

Summary:
Formation energy (no corrections): -1587.8 meV/atom
Raw total energy: -52.58 eV/cell

Cell: 4.279 7.946 12.049 Å, 123.53 100.23 90.00°
Positions (direct):
Te  0.143  0.320  0.286
Te  0.857  0.680  0.714
Te  0.837  0.131  0.674
Te  0.500  0.500  0.000
Te  0.163  0.869  0.326
Pr  0.978  0.179  0.956
Pr  0.277  0.783  0.553
Pr  0.723  0.217  0.447
Pr  0.022  0.821  0.044
F  0.500  0.000  0.000